[1]
Here is LaSc2Al2 after structural relaxation from the Alexandria database. Energies are from PBE.

Lattice parameters (Å, degrees): 8.5865 8.5865 3.1203 90.00 90.00 90.00
Fractional positions:
1 La 0.0000 0.0000 0.0000
2 La 0.5000 0.5000 0.0000
3 Sc 0.1254 0.3746 0.0000
4 Sc 0.3746 0.8746 0.0000
5 Sc 0.6254 0.1254 0.0000
6 Sc 0.8746 0.6254 0.0000
7 Al 0.1712 0.6712 0.5000
8 Al 0.3288 0.1712 0.5000
9 Al 0.6712 0.8288 0.5000
10 Al 0.8288 0.3288 0.5000

Calculated values
- formation energy (kcal/mol of atoms) = -7.260
- total DFT energy (no corrections) (eV per atom) = -5.330
- symmetry = P4/mbm (127)
- Fermi-level density of states (states/eV per cell) = 9.352
- theoretical density (Mg/m³) = 4.08
- offset from the most stable computed form (eV/f.u.) = 0.00


[2]
Here is La2ScAl3 after structural relaxation from the Alexandria database. Energies are from PBE.

Lattice parameters (Å, degrees): 5.8587 5.8587 5.8587 61.13 61.13 61.13
Fractional positions:
1 La 0.1252 0.1252 0.1252
2 La 0.8748 0.8748 0.8748
3 Sc 0.5000 0.5000 0.5000
4 Al 0.0000 0.5000 0.5000
5 Al 0.5000 0.0000 0.5000
6 Al 0.5000 0.5000 0.0000

Calculated values
- formation energy (kcal/mol of atoms) = -9.838
- total DFT energy (no corrections) (eV per atom) = -4.996
- symmetry = R-3m (166)
- Fermi-level density of states (states/eV per cell) = 3.689
- theoretical density (Mg/m³) = 4.60


[3]
Here is LaScAl2 after structural relaxation from the Alexandria database. Energies are from PBE.

Lattice parameters (Å, degrees): 6.0011 6.0011 6.0011 141.46 133.43 61.99
Fractional positions:
1 La 0.0000 0.0000 0.0000
2 Sc 0.2652 0.7652 0.5000
3 Al 0.5655 0.5655 0.0000
4 Al 0.7361 0.2361 0.5000

Calculated values
- formation energy (kcal/mol of atoms) = -6.400
- total DFT energy (no corrections) (eV per atom) = -4.964
- symmetry = Imm2 (44)
- Fermi-level density of states (states/eV per cell) = 2.651
- theoretical density (Mg/m³) = 4.08
- offset from the most stable computed form (eV/f.u.) = 0.48


[4]
Here is LaScAl3 after structural relaxation from the Alexandria database. Energies are from PBE.

Lattice parameters (Å, degrees): 5.4166 5.4166 5.4166 90.00 90.00 90.00
Fractional positions:
1 La 0.0000 0.0000 0.0000
2 Sc 0.5000 0.5000 0.5000
3 Al 0.0000 0.0000 0.5000
4 Al 0.0000 0.5000 0.0000
5 Al 0.5000 0.0000 0.0000

Calculated values
- formation energy (kcal/mol of atoms) = 25.551
- total DFT energy (no corrections) (eV per atom) = -3.389
- symmetry = Pm-3m (221)
- Fermi-level density of states (states/eV per cell) = 9.401
- theoretical density (Mg/m³) = 2.77
- offset from the most stable computed form (eV/f.u.) = 4.42